VASP calculation (PBE) on ScH2Pb after structural relaxation.

Properties
Energy above the lowest structure with this stoichiometry, eV per atom: 0.2567
E, eV per atom: -4.312
Total moment, Bohr magnetons per cell: 0.00

a = 6.282 Å, b = 5.856 Å, c = 6.430 Å
α = 90.00°, β = 90.00°, γ = 90.00°
Sites, in units of the cell vectors:
Sc  0.591  0.250  0.421
Sc  0.091  0.750  0.079
Sc  0.409  0.750  0.579
Sc  0.909  0.250  0.921
H  0.962  0.047  0.158
H  0.462  0.953  0.342
H  0.038  0.547  0.842
H  0.538  0.453  0.658
H  0.038  0.953  0.842
H  0.538  0.047  0.658
H  0.962  0.453  0.158
H  0.462  0.547  0.342
Pb  0.395  0.250  0.941
Pb  0.895  0.750  0.559
Pb  0.605  0.750  0.059
Pb  0.105  0.250  0.441